Here is a relaxed InPAuCl2 crystal from the Alexandria database. Energies are from PBE-GGA.

- crystal system = tetragonal
- energy relative to the lowest polymorph listed for this composition (eV/atom) = 0.2134
- uncorrected energy (eV per atom) = -2.71
- ΔE_f (raw) (kcal/mol of atoms) = 7.3
- SG = P4/mmm (123)

Cell lengths 5.022, 5.022, 5.502 Å; angles 90.00, 90.00, 90.00 degrees
Fractional positions:
P 0.000 0.000 0.500
Cl 0.000 0.500 0.000
Cl 0.500 0.000 0.000
Au 0.500 0.500 0.500
In 0.000 0.000 0.000

---

Here is a relaxed InP2AuCl crystal from the Alexandria database. Energies are from PBE-GGA.

- crystal system = tetragonal
- energy relative to the lowest polymorph listed for this composition (eV/atom) = 0.0000
- uncorrected energy (eV per atom) = -3.20
- ΔE_f (raw) (kcal/mol of atoms) = 12.4
- SG = P4/mmm (123)

Cell lengths 4.713, 4.713, 6.627 Å; angles 90.00, 90.00, 90.00 degrees
Fractional positions:
P 0.000 0.500 0.000
P 0.500 0.000 0.000
Cl 0.000 0.000 0.500
Au 0.000 0.000 0.000
In 0.500 0.500 0.500

---

Here is a relaxed RbInAu2Cl crystal from the Alexandria database. Energies are from PBE-GGA.

- crystal system = tetragonal
- uncorrected energy (eV per atom) = -1.80
- ΔE_f (raw) (kcal/mol of atoms) = 14.3
- SG = P4/mmm (123)

Cell lengths 5.894, 10.662, 5.894 Å; angles 90.00, 90.00, 90.00 degrees
Fractional positions:
Cl 0.500 0.500 0.500
Au 0.000 0.000 0.500
Au 0.500 0.000 0.000
Rb 0.000 0.000 0.000
In 0.000 0.500 0.000

---

Here is a relaxed InAuS2Cl crystal from the Alexandria database. Energies are from PBE-GGA.

- crystal system = tetragonal
- energy relative to the lowest polymorph listed for this composition (eV/atom) = 0.0000
- uncorrected energy (eV per atom) = -3.01
- ΔE_f (raw) (kcal/mol of atoms) = 4.8
- SG = P4/mmm (123)

Cell lengths 4.915, 4.915, 5.070 Å; angles 90.00, 90.00, 90.00 degrees
Fractional positions:
S 0.000 0.500 0.000
S 0.500 0.000 0.000
Cl 0.000 0.000 0.500
Au 0.000 0.000 0.000
In 0.500 0.500 0.500

---

Here is a relaxed InAuS2Cl crystal from the Alexandria database. Energies are from PBE-GGA.

- crystal system = tetragonal
- energy relative to the lowest polymorph listed for this composition (eV/atom) = 0.2169
- uncorrected energy (eV per atom) = -2.80
- ΔE_f (raw) (kcal/mol of atoms) = 9.8
- SG = P4/mmm (123)

Cell lengths 5.074, 5.074, 5.035 Å; angles 90.00, 90.00, 90.00 degrees
Fractional positions:
S 0.000 0.500 0.000
S 0.500 0.000 0.000
Cl 0.000 0.000 0.500
Au 0.500 0.500 0.500
In 0.000 0.000 0.000

---

Here is a relaxed TlInAu2Cl crystal from the Alexandria database. Energies are from PBE-GGA.

- crystal system = tetragonal
- uncorrected energy (eV per atom) = -2.83
- ΔE_f (raw) (kcal/mol of atoms) = -3.1
- SG = P4/mmm (123)

Cell lengths 5.280, 5.622, 5.280 Å; angles 90.00, 90.00, 90.00 degrees
Fractional positions:
Tl 0.500 0.500 0.500
Cl 0.000 0.500 0.000
Au 0.000 0.000 0.500
Au 0.500 0.000 0.000
In 0.000 0.000 0.000

---

Here is a relaxed ZrInAu2Cl crystal from the Alexandria database. Energies are from PBE-GGA.

- crystal system = tetragonal
- uncorrected energy (eV per atom) = -3.50
- ΔE_f (raw) (kcal/mol of atoms) = 10.1
- SG = P4/mmm (123)

Cell lengths 5.239, 6.078, 5.239 Å; angles 90.00, 90.00, 90.00 degrees
Fractional positions:
Cl 0.500 0.500 0.500
Au 0.000 0.000 0.500
Au 0.500 0.000 0.000
Zr 0.000 0.000 0.000
In 0.000 0.500 0.000

---

Here is a relaxed IrAuCl2 crystal from the Alexandria database. Energies are from PBE-GGA.

- crystal system = cubic
- energy relative to the lowest polymorph listed for this composition (eV/atom) = 1.0220
- uncorrected energy (eV per atom) = -2.95
- ΔE_f (raw) (kcal/mol of atoms) = 23.3
- SG = F-43m (216)

Cell lengths 4.699, 4.699, 4.699 Å; angles 60.00, 60.00, 60.00 degrees
Fractional positions:
Ir 0.750 0.750 0.750
Au 0.500 0.500 0.500
Cl 0.000 0.000 0.000
Cl 0.250 0.250 0.250

---

Here is a relaxed IrAu2Cl6 crystal from the Alexandria database. Energies are from PBE-GGA.

- crystal system = monoclinic
- uncorrected energy (eV per atom) = -3.23
- ΔE_f (raw) (kcal/mol of atoms) = -6.7
- SG = C2/c (15)

Cell lengths 14.717, 6.466, 6.466 Å; angles 114.71, 75.29, 75.29 degrees
Fractional positions:
Ir 0.250 0.100 0.900
Ir 0.750 0.900 0.100
Au 0.141 0.643 0.619
Au 0.359 0.381 0.357
Au 0.859 0.357 0.381
Au 0.641 0.619 0.643
Cl 0.386 0.745 0.531
Cl 0.114 0.469 0.255
Cl 0.614 0.255 0.469
Cl 0.886 0.531 0.745
Cl 0.844 0.830 0.320
Cl 0.656 0.680 0.170
Cl 0.156 0.170 0.680
Cl 0.344 0.320 0.830
Cl 0.154 0.879 0.990
Cl 0.346 0.010 0.121
Cl 0.846 0.121 0.010
Cl 0.654 0.990 0.879

---

Here is a relaxed IrAuCl2 crystal from the Alexandria database. Energies are from PBE-GGA.

- crystal system = trigonal
- energy relative to the lowest polymorph listed for this composition (eV/atom) = 0.0000
- uncorrected energy (eV per atom) = -3.97
- ΔE_f (raw) (kcal/mol of atoms) = -0.3
- SG = R3m (160)

Cell lengths 7.949, 7.949, 7.949 Å; angles 26.21, 26.21, 26.21 degrees
Fractional positions:
Ir 0.498 0.498 0.498
Au 0.761 0.761 0.761
Cl 0.025 0.025 0.025
Cl 0.215 0.215 0.215

---

Here is a relaxed IrAuCl2 crystal from the Alexandria database. Energies are from PBE-GGA.

- crystal system = monoclinic
- energy relative to the lowest polymorph listed for this composition (eV/atom) = 0.6472
- uncorrected energy (eV per atom) = -3.32
- ΔE_f (raw) (kcal/mol of atoms) = 14.6
- SG = C2/m (12)

Cell lengths 6.801, 5.947, 3.023 Å; angles 59.53, 116.25, 133.17 degrees
Fractional positions:
Ir 0.000 0.500 0.500
Au 0.500 0.500 0.000
Cl 0.000 0.000 0.000
Cl 0.500 0.000 0.500

---

Here is a relaxed IrAuCl2 crystal from the Alexandria database. Energies are from PBE-GGA.

- crystal system = orthorhombic
- energy relative to the lowest polymorph listed for this composition (eV/atom) = 0.3598
- uncorrected energy (eV per atom) = -3.61
- ΔE_f (raw) (kcal/mol of atoms) = 8.0
- SG = Cmmm (65)

Cell lengths 3.140, 3.140, 10.603 Å; angles 90.00, 90.00, 123.71 degrees
Fractional positions:
Ir 0.500 0.500 0.250
Au 0.500 0.500 0.750
Cl 0.000 0.000 0.077
Cl 0.000 0.000 0.423